1.
The following is a GGA-PBE calculation of a relaxed CaReN3 crystal, from Alexandria via LeMat-Bulk.

a b c (Å): 6.0523 6.0523 6.0523
angles (deg): 53.31 53.31 53.31
With the nearest neighbours (Å) after each atom.
Atoms (fractional coordinates):
1 Ca 0.1360 0.1360 0.1360  6 N 2.40-2.51
2 Ca 0.8640 0.8640 0.8640  6 N 2.40-2.51
3 Re 0.3577 0.3577 0.3577  3 N 1.85
4 Re 0.6423 0.6423 0.6423  3 N 1.85
5 N 0.0685 0.6721 0.4827  1 Re 1.85
6 N 0.3279 0.5173 0.9315  1 Re 1.85
7 N 0.4827 0.0685 0.6721  1 Re 1.85
8 N 0.5173 0.9315 0.3279  1 Re 1.85
9 N 0.6721 0.4827 0.0685  1 Re 1.85
10 N 0.9315 0.3279 0.5173  1 Re 1.85

- energy relative to the elements, uncorrected (eV/atom) = -0.357
- energy (Ha/atom) = -0.303
- space group = R-3, No. 148


2.
The following is a GGA-PBE calculation of a relaxed LiAcAu3 crystal, from Alexandria via LeMat-Bulk.

a b c (Å): 10.9117 10.9117 4.8038
angles (deg): 102.57 102.57 24.22
With the nearest neighbours (Å) after each atom.
Atoms (fractional coordinates):
1 Li 0.1557 0.1557 0.4077  5 Au 2.49-2.61
2 Li 0.8443 0.8443 0.5923  5 Au 2.49-2.61
3 Ac 0.4054 0.4054 0.1542  10 Au 3.24-3.57, 4 Li 3.55-3.56
4 Ac 0.5946 0.5946 0.8458  10 Au 3.24-3.57, 4 Li 3.55-3.56
5 Au 0.0328 0.0328 0.2823  1 Li 2.56, 2 Au 2.76
6 Au 0.2048 0.2048 0.9563  2 Li 2.61
7 Au 0.2967 0.2967 0.5476  2 Li 2.49
8 Au 0.7033 0.7033 0.4524  2 Li 2.49
9 Au 0.7952 0.7952 0.0437  2 Li 2.61
10 Au 0.9672 0.9672 0.7177  1 Li 2.56, 2 Au 2.76

- energy relative to the elements (eV/f.u.) = -2.95
- polymorph energy (0 for the lowest one) (eV per formula unit) = 0.000
- energy (Ha/atom) = -0.138
- space group = C2/m, No. 12


Q: Which formula does entry 2 have?
A: LiAcAu3